The following is a DFT calculation (PBE) of a geometry-optimized BaSr2InIr structure. Values from VASP.

Properties
The calculation puts the formation enthalpy at 0 K at -0.1721 eV per atom. For the volume, the calculation gives 185 Å³/cell. The total energy is -3.549 eV per atom. The calculation puts the total magnetic moment at 0.00 μB/cell. The excess energy over the best structure of this formula in the dataset comes out at 0.0 meV/atom. The space group is P4/mmm (123).

Structure (Quantum ESPRESSO input):
```
&SYSTEM
  ibrav = 0, nat = 5, ntyp = 4
/
ATOMIC_SPECIES
Sr 87.62 Sr.upf
Ir 192.22 Ir.upf
Ba 137.33 Ba.upf
In 114.82 In.upf
ATOMIC_POSITIONS crystal
Sr 0.0000 0.5000 0.0000
Sr 0.5000 0.0000 0.0000
Ir 0.0000 0.0000 0.0000
Ba 0.5000 0.5000 0.5000
In 0.0000 0.0000 0.5000
CELL_PARAMETERS angstrom
5.8596 0.0000 0.0000
0.0000 5.8596 0.0000
0.0000 0.0000 5.3773
```